Entry 1:
Computed, not measured: a geometry-optimized ZrNpW structure at the GGA-PBE level of DFT.

total energy = -11.33 eV/atom
theoretical density = 14.45 g/cm3
calculated formation energy = 151.7 meV per atom

a b c (Å): 5.5138 5.5138 40.2257
angles (deg): 90.00 90.00 120.00
Space group R-3m (No. 166, hexagonal axes)
Unique sites:
Zr  0.0000  0.0000  0.0389
Zr  0.0000  0.0000  0.1816
Zr  0.0000  0.0000  0.2681
Np  0.0374  0.5187  0.7770
W  0.0000  0.0000  0.3886
W  0.0000  0.0000  0.5000
W  0.0000  0.5000  0.0000


Entry 2:
Computed, not measured: a geometry-optimized YNp3 structure at the GGA-PBE level of DFT.

total energy = -10.57 eV/atom
theoretical density = 13.66 g/cm3
calculated formation energy = 747.4 meV per atom

a b c (Å): 4.598 4.598 9.199
angles (deg): 90.00 90.00 90.00
Space group I4/mmm (No. 139)
Unique sites:
Y  0.000  0.000  0.000
Np  0.000  0.000  0.500
Np  0.000  0.500  0.250


Entry 3:
Computed, not measured: a geometry-optimized YNp4 structure at the GGA-PBE level of DFT.

total energy = -9.78 eV/atom
theoretical density = 10.89 g/cm3
calculated formation energy = 1865.4 meV per atom

a b c (Å): 5.407 5.407 5.407
angles (deg): 90.00 90.00 90.00
Space group Pm-3m (No. 221)
Unique sites:
Y  0.000  0.000  0.000
Np  0.000  0.000  0.500
Np  0.500  0.500  0.500


Entry 4:
Computed, not measured: a geometry-optimized YNp3 structure at the GGA-PBE level of DFT.

total energy = -10.58 eV/atom
theoretical density = 13.25 g/cm3
calculated formation energy = 746.4 meV per atom

a b c (Å): 4.646 4.646 4.646
angles (deg): 90.00 90.00 90.00
Space group Pm-3m (No. 221)
Unique sites:
Y  0.000  0.000  0.000
Np  0.000  0.500  0.500


Entry 5:
Computed, not measured: a geometry-optimized YNpZn17 structure at the GGA-PBE level of DFT.

total energy = -2.31 eV/atom
theoretical density = 7.78 g/cm3
calculated formation energy = -145.0 meV per atom

a b c (Å): 8.9770 8.9770 13.1906
angles (deg): 90.00 90.00 120.00
Space group R3m (No. 160, hexagonal axes)
Unique sites:
Y  0.0000  0.0000  0.0000
Np  0.0000  0.0000  0.3295
Zn  0.0000  0.0000  0.5642
Zn  0.0000  0.0000  0.7642
Zn  0.0000  0.2967  0.6646
Zn  0.0010  0.5005  0.1642
Zn  0.0081  0.5040  0.8164
Zn  0.1725  0.3450  0.8467


Entry 6:
Computed, not measured: a geometry-optimized NpZn4 structure at the GGA-PBE level of DFT.

total energy = -2.31 eV/atom
theoretical density = 4.37 g/cm3
calculated formation energy = 1298.8 meV per atom

a b c (Å): 5.743 5.743 5.743
angles (deg): 90.00 90.00 90.00
Space group Pm-3m (No. 221)
Unique sites:
Np  0.000  0.000  0.000
Zn  0.000  0.000  0.500
Zn  0.500  0.500  0.500


Entry 7:
Computed, not measured: a geometry-optimized Np4Zn structure at the GGA-PBE level of DFT.

total energy = -9.05 eV/atom
theoretical density = 11.18 g/cm3
calculated formation energy = 1559.7 meV per atom

a b c (Å): 5.320 5.320 5.320
angles (deg): 90.00 90.00 90.00
Space group Pm-3m (No. 221)
Unique sites:
Np  0.000  0.000  0.000
Np  0.000  0.500  0.500
Zn  0.500  0.500  0.500


Entry 8:
Computed, not measured: a geometry-optimized NpZn11 structure at the GGA-PBE level of DFT.

total energy = -2.29 eV/atom
theoretical density = 8.30 g/cm3
calculated formation energy = -45.1 meV per atom

a b c (Å): 10.555 10.555 6.870
angles (deg): 90.00 90.00 90.00
Space group I4_1/amd (No. 141, origin choice 2)
Unique sites:
Np  0.000  0.250  0.375
Zn  0.000  0.000  0.000
Zn  0.000  0.250  0.875
Zn  0.121  0.045  0.675